V2SbRh2 after structural relaxation, computed with PBE-GGA.

As for the uncorrected formation energy: -0.1582 eV/atom. The total energy comes out at -7.571 eV/atom. The calculation puts the calculated volume at 15.82 A^3/atom. The total magnetization is 0.95 μB/f.u. For the calculated density, the calculation gives 9.01 g cm⁻³.

Unit cell a=7.444 b=7.444 c=2.855 alpha=90.00 beta=90.00 gamma=90.00
Each line ends with the local moment (μB).
Element x y z (fractional)
Sb 0.000 0.000 0.000  -0.01
Sb 0.500 0.500 0.000  -0.01
Rh 0.368 0.868 0.000  -0.04
Rh 0.868 0.632 0.000  -0.04
Rh 0.632 0.132 0.000  -0.04
Rh 0.132 0.368 0.000  -0.04
V 0.159 0.659 0.500  0.47
V 0.659 0.841 0.500  0.47
V 0.841 0.341 0.500  0.47
V 0.341 0.159 0.500  0.47